Below is crystalline CaNiAs2Ir at its relaxed geometry, with properties calculated at the PBE level. Values from VASP.

Cell and atoms, written as Quantum ESPRESSO input:
```
&SYSTEM
  ibrav = 0, nat = 5, ntyp = 4
/
ATOMIC_SPECIES
Ca 40.08 Ca.upf
Ni 58.69 Ni.upf
As 74.92 As.upf
Ir 192.22 Ir.upf
ATOMIC_POSITIONS angstrom
Ca 0.000 0.000 0.000
Ni 2.089 0.000 2.600
As 0.000 0.000 3.860
As 0.000 0.000 6.542
Ir 0.000 2.089 2.600
CELL_PARAMETERS angstrom
-2.089 2.089 5.201
2.089 -2.089 5.201
2.089 2.089 -5.201
```

Computed properties:
For the total energy, the calculation gives -5.742 eV per atom. Its density of states at the Fermi level is 4.341 states/eV/f.u. Its density is 8.06 Mg/m³.


Below is crystalline CaAsIrO6 at its relaxed geometry, with properties calculated at the PBE level. Values from VASP.

Cell and atoms, written as Quantum ESPRESSO input:
```
&SYSTEM
  ibrav = 0, nat = 18, ntyp = 4
/
ATOMIC_SPECIES
Ca 40.08 Ca.upf
As 74.92 As.upf
Ir 192.22 Ir.upf
O 16.00 O.upf
ATOMIC_POSITIONS angstrom
Ca 0.000 0.000 0.000
Ca 0.000 0.000 5.067
As 0.000 2.951 2.533
As 2.556 1.476 7.600
Ir 0.000 2.951 7.600
Ir 2.556 1.476 2.533
O -0.884 1.660 1.488
O -1.560 2.831 3.579
O 0.884 1.660 3.579
O -0.676 4.363 1.488
O 1.880 0.064 6.554
O 0.995 1.596 8.645
O 1.560 2.831 1.488
O 0.676 4.363 3.579
O 3.232 0.064 8.645
O 1.671 2.767 6.554
O 4.116 1.596 6.554
O 3.440 2.767 8.645
CELL_PARAMETERS angstrom
5.112 0.000 0.000
-2.556 4.427 0.000
0.000 0.000 10.133
```

Computed properties:
For the total energy, the calculation gives -6.533 eV per atom. Its density of states at the Fermi level is 2.472 states/eV/f.u. Its density is 5.84 Mg/m³.


Below is crystalline CaAs2IrO8 at its relaxed geometry, with properties calculated at the PBE level. Values from VASP.

Cell and atoms, written as Quantum ESPRESSO input:
```
&SYSTEM
  ibrav = 0, nat = 12, ntyp = 4
/
ATOMIC_SPECIES
Ca 40.08 Ca.upf
As 74.92 As.upf
Ir 192.22 Ir.upf
O 16.00 O.upf
ATOMIC_POSITIONS angstrom
Ca 0.000 0.000 0.000
As 0.000 3.155 1.566
As 2.733 1.578 5.181
Ir 0.000 0.000 3.374
O 0.000 1.478 2.020
O -1.453 3.994 2.020
O 1.280 0.739 4.727
O 0.000 3.155 6.642
O 2.733 1.578 0.105
O 1.453 3.994 2.020
O 4.186 0.739 4.727
O 2.733 3.256 4.727
CELL_PARAMETERS angstrom
5.465 0.000 0.000
-2.733 4.733 0.000
0.000 0.000 6.747
```

Computed properties:
For the total energy, the calculation gives -6.249 eV per atom. Its density of states at the Fermi level is 4.268 states/eV/f.u. Its density is 4.85 Mg/m³.


Below is crystalline CaAsIrO5 at its relaxed geometry, with properties calculated at the PBE level. Values from VASP.

Cell and atoms, written as Quantum ESPRESSO input:
```
&SYSTEM
  ibrav = 0, nat = 16, ntyp = 4
/
ATOMIC_SPECIES
Ca 40.08 Ca.upf
As 74.92 As.upf
Ir 192.22 Ir.upf
O 16.00 O.upf
ATOMIC_POSITIONS angstrom
Ca 1.179 3.052 4.993
Ca 2.641 -3.052 1.664
As 2.641 2.910 1.664
As 1.179 -2.910 4.993
Ir 3.372 0.000 0.000
Ir 1.910 0.000 3.329
O -1.497 0.575 6.198
O 1.483 1.916 2.565
O -0.036 -0.575 2.870
O 3.799 1.916 0.763
O 1.179 0.835 4.993
O 2.641 -0.835 1.664
O 0.021 -1.916 5.894
O 3.856 0.575 3.787
O 2.338 -1.916 4.092
O 5.318 -0.575 0.459
CELL_PARAMETERS angstrom
3.372 -4.602 0.000
3.372 4.602 0.000
-2.924 0.000 6.657
```

Computed properties:
For the total energy, the calculation gives -6.496 eV per atom. Its density of states at the Fermi level is 1.613 states/eV/f.u. Its density is 6.22 Mg/m³.


Below is crystalline Ca2As4Ir3Pd at its relaxed geometry, with properties calculated at the PBE level. Values from VASP.

Cell and atoms, written as Quantum ESPRESSO input:
```
&SYSTEM
  ibrav = 0, nat = 10, ntyp = 4
/
ATOMIC_SPECIES
Ca 40.08 Ca.upf
As 74.92 As.upf
Ir 192.22 Ir.upf
Pd 106.42 Pd.upf
ATOMIC_POSITIONS angstrom
Ca 0.000 2.186 2.404
Ca 2.186 0.000 7.449
As 0.000 0.000 0.000
As 0.000 2.186 6.248
As 2.186 0.000 3.606
As 2.186 2.186 0.000
Ir 0.000 2.186 8.676
Ir 2.186 0.000 1.178
Ir 2.186 2.186 4.927
Pd 0.000 0.000 4.927
CELL_PARAMETERS angstrom
4.372 0.000 0.000
0.000 4.372 0.000
0.000 0.000 9.854
```

Computed properties:
For the total energy, the calculation gives -6.047 eV per atom. Its density of states at the Fermi level is 4.338 states/eV/f.u. Its density is 9.37 Mg/m³.


Below is crystalline Ca3As2IrPd9 at its relaxed geometry, with properties calculated at the PBE level. Values from VASP.

Cell and atoms, written as Quantum ESPRESSO input:
```
&SYSTEM
  ibrav = 0, nat = 15, ntyp = 4
/
ATOMIC_SPECIES
Ca 40.08 Ca.upf
As 74.92 As.upf
Ir 192.22 Ir.upf
Pd 106.42 Pd.upf
ATOMIC_POSITIONS angstrom
Ca 0.000 0.000 0.000
Ca 0.000 3.896 5.818
Ca 3.374 1.948 2.507
As 0.000 3.896 1.401
As 3.374 1.948 6.924
Ir 0.000 0.000 4.163
Pd -1.687 2.922 0.000
Pd 0.000 2.315 3.255
Pd -1.369 4.686 3.255
Pd 2.005 1.157 5.070
Pd 3.374 0.000 0.000
Pd 1.687 2.922 0.000
Pd 1.369 4.686 3.255
Pd 4.743 1.157 5.070
Pd 3.374 3.529 5.070
CELL_PARAMETERS angstrom
6.748 0.000 0.000
-3.374 5.844 0.000
0.000 0.000 8.325
```

Computed properties:
For the total energy, the calculation gives -5.001 eV per atom. Its density of states at the Fermi level is 8.739 states/eV/f.u. Its density is 7.18 Mg/m³.


Below is crystalline CaAsIr2Pt at its relaxed geometry, with properties calculated at the PBE level. Values from VASP.

Cell and atoms, written as Quantum ESPRESSO input:
```
&SYSTEM
  ibrav = 0, nat = 5, ntyp = 4
/
ATOMIC_SPECIES
Ca 40.08 Ca.upf
As 74.92 As.upf
Ir 192.22 Ir.upf
Pt 195.08 Pt.upf
ATOMIC_POSITIONS angstrom
Ca 0.000 0.000 0.000
As 2.311 2.311 2.394
Ir 0.000 2.311 2.394
Ir 2.311 0.000 2.394
Pt 2.311 2.311 0.000
CELL_PARAMETERS angstrom
4.621 0.000 0.000
0.000 4.621 0.000
0.000 0.000 4.788
```

Computed properties:
For the total energy, the calculation gives -5.949 eV per atom. Its density of states at the Fermi level is 3.707 states/eV/f.u. Its density is 11.28 Mg/m³.


Below is crystalline RbCaAsIrS at its relaxed geometry, with properties calculated at the PBE level. Values from VASP.

Cell and atoms, written as Quantum ESPRESSO input:
```
&SYSTEM
  ibrav = 0, nat = 5, ntyp = 5
/
ATOMIC_SPECIES
Rb 85.47 Rb.upf
Ca 40.08 Ca.upf
As 74.92 As.upf
Ir 192.22 Ir.upf
S 32.06 S.upf
ATOMIC_POSITIONS angstrom
Rb 0.000 0.000 0.000
Ca 13.263 0.000 1.054
As 10.231 0.000 2.460
Ir 2.773 0.000 2.746
S 5.065 0.000 3.270
CELL_PARAMETERS angstrom
8.692 -1.971 0.000
8.692 1.971 0.000
-0.923 0.000 3.998
```

Computed properties:
Its density of states at the Fermi level is 1.962 states/eV/f.u. The energy above the most stable polymorph in this dataset is 92.6 meV per atom. Its density is 5.15 Mg/m³.


Below is crystalline RbCaAsIrS at its relaxed geometry, with properties calculated at the PBE level. Values from VASP.

Cell and atoms, written as Quantum ESPRESSO input:
```
&SYSTEM
  ibrav = 0, nat = 5, ntyp = 5
/
ATOMIC_SPECIES
Rb 85.47 Rb.upf
Ca 40.08 Ca.upf
As 74.92 As.upf
Ir 192.22 Ir.upf
S 32.06 S.upf
ATOMIC_POSITIONS angstrom
Rb 0.000 0.000 0.000
Ca 3.601 0.000 3.998
As 6.673 0.000 2.957
Ir 0.639 0.000 3.675
S -0.659 0.000 5.601
CELL_PARAMETERS angstrom
5.251 -2.099 0.000
5.251 2.099 0.000
-3.774 0.000 7.018
```

Computed properties:
Its density of states at the Fermi level is 1.962 states/eV/f.u. The energy above the most stable polymorph in this dataset is 113.8 meV per atom. Its density is 4.56 Mg/m³.


Below is crystalline RbCaAsIrS at its relaxed geometry, with properties calculated at the PBE level. Values from VASP.

Cell and atoms, written as Quantum ESPRESSO input:
```
&SYSTEM
  ibrav = 0, nat = 5, ntyp = 5
/
ATOMIC_SPECIES
Rb 85.47 Rb.upf
Ca 40.08 Ca.upf
As 74.92 As.upf
Ir 192.22 Ir.upf
S 32.06 S.upf
ATOMIC_POSITIONS angstrom
Rb 0.000 0.000 0.000
Ca 0.060 0.000 5.514
As 2.474 0.000 3.052
Ir 4.874 0.000 3.045
S 2.463 0.000 6.845
CELL_PARAMETERS angstrom
3.668 -2.018 0.000
3.668 2.018 0.000
-2.466 0.000 9.063
```

Computed properties:
Its density of states at the Fermi level is 2.114 states/eV/f.u. The energy above the most stable polymorph in this dataset is 0.0 meV per atom. Its density is 5.26 Mg/m³.


Below is crystalline RbCaAsIrS at its relaxed geometry, with properties calculated at the PBE level. Values from VASP.

Cell and atoms, written as Quantum ESPRESSO input:
```
&SYSTEM
  ibrav = 0, nat = 5, ntyp = 5
/
ATOMIC_SPECIES
Rb 85.47 Rb.upf
Ca 40.08 Ca.upf
As 74.92 As.upf
Ir 192.22 Ir.upf
S 32.06 S.upf
ATOMIC_POSITIONS angstrom
Rb 0.000 0.000 0.000
Ca 4.601 2.235 3.445
As 2.312 4.768 4.704
Ir 4.613 4.648 4.994
S 2.300 1.043 2.393
CELL_PARAMETERS angstrom
4.603 0.000 0.000
0.013 4.731 0.000
0.035 2.337 7.467
```

Computed properties:
Its density of states at the Fermi level is 0.837 states/eV/f.u. The energy above the most stable polymorph in this dataset is 319.9 meV per atom. Its density is 4.34 Mg/m³.